(1)
VASP calculation (PBE) on crystalline Tb3Er2Th3 at its relaxed geometry.

Formation energy, meV per atom: 39
Theoretical density, g/cm³: 9.85

Structure (extended XYZ):
```
8
Lattice="5.0102 0.0000 0.0000 0.0000 5.0311 0.0000 0.0000 0.0000 10.0791" Properties=species:S:1:pos:R:3 pbc="T T T"
Tb 0.0000 0.0000 0.0000
Tb 0.0000 0.0000 5.0396
Tb 2.5051 2.5156 0.0000
Er 2.5051 0.0000 2.5369
Er 2.5051 0.0000 7.5422
Th 0.0000 2.5156 2.5251
Th 0.0000 2.5156 7.5540
Th 2.5051 2.5156 5.0396
```

***

(2)
VASP calculation (PBE) on crystalline Tb6Er2Th at its relaxed geometry.

Formation energy, meV per atom: 57
Energy relative to the lowest polymorph listed for this composition, eV per atom: 0.000
Theoretical density, g/cm³: 8.72

Structure (extended XYZ):
```
9
Lattice="3.5659 0.0000 0.0000 -1.7829 3.0881 0.0000 0.0000 0.0000 26.2840" Properties=species:S:1:pos:R:3 pbc="T T T"
Tb 0.0000 0.0000 1.7314
Tb 0.0000 0.0000 7.3463
Tb 0.0000 0.0000 18.9377
Tb 0.0000 0.0000 24.5526
Tb 0.0000 2.0587 10.2302
Tb 0.0000 2.0587 16.0538
Er 0.0000 2.0587 4.4973
Er 0.0000 2.0587 21.7867
Th 0.0000 0.0000 13.1420
```